1.
Computed, not measured: NdDyAlOs2 after structural relaxation at the PBE-GGA level of DFT.

Results
For the volume, the calculation gives 213 Å³/cell. For the raw total energy, the calculation gives -7.44 eV per atom. Its magnetic moment is 0.0 μB/cell.

a = 4.2352 Å, b = 5.6178 Å, c = 8.9565 Å
α = 90.00°, β = 90.00°, γ = 90.00°
With the nearest neighbours (Å) after each atom.
Space group Imm2 (No. 44)
Symmetry-distinct sites (fractional):
Nd  0.0000  0.0000  0.0000 [2 per cell]  6 Os 3.07, 4 Al 3.35-3.40
Dy  0.0000  0.0000  0.5933 [2 per cell]  6 Os 3.05-3.09, 4 Al 3.35-3.40
Al  0.0000  0.5000  0.7968 [2 per cell]  4 Os 2.63
Os  0.0000  0.2781  0.2950 [4 per cell]  1 Os 2.49, 2 Al 2.63

=====

2.
Computed, not measured: NdDyAl2Pd4 after structural relaxation at the PBE-GGA level of DFT.

Results
For the volume, the calculation gives 154 Å³/cell. For the raw total energy, the calculation gives -5.61 eV per atom. Its magnetic moment is 0.0 μB/cell.

a = 4.3891 Å, b = 4.3891 Å, c = 9.2454 Å
α = 90.00°, β = 90.00°, γ = 120.00°
With the nearest neighbours (Å) after each atom.
Space group P-6m2 (No. 187)
Symmetry-distinct sites (fractional):
Nd  0.0000  0.0000  0.0000 [1 per cell]  8 Pd 3.04-3.09
Dy  0.3333  0.6667  0.5000 [1 per cell]  8 Pd 2.95-2.96
Al  0.6667  0.3333  0.2557 [2 per cell]  6 Pd 2.63
Pd  0.0000  0.0000  0.3337 [2 per cell]  3 Al 2.63, 3 Pd 2.90
Pd  0.3333  0.6667  0.1812 [2 per cell]  3 Al 2.63, 3 Pd 2.90

=====

3.
Computed, not measured: NdDy2Al3Si2Pd after structural relaxation at the PBE-GGA level of DFT.

Results
For the volume, the calculation gives 359 Å³/cell. For the raw total energy, the calculation gives -5.35 eV per atom. Its magnetic moment is 0.0 μB/cell.

a = 4.2873 Å, b = 12.0574 Å, c = 6.9423 Å
α = 90.00°, β = 90.00°, γ = 90.00°
With the nearest neighbours (Å) after each atom.
Space group Amm2 (No. 38)
Symmetry-distinct sites (fractional):
Nd  0.0000  0.0000  0.0000 [2 per cell]  1 Pd 2.96, 4 Si 3.03, 2 Al 3.22
Dy  0.0000  0.2088  0.6256 [4 per cell]  1 Pd 2.87, 4 Si 2.97-2.98
Al  0.5000  0.0000  0.6543 [2 per cell]  2 Pd 2.66, 2 Si 2.75, 2 Al 2.84
Al  0.5000  0.1198  0.3012 [4 per cell]  2 Si 2.65-2.74, 2 Pd 2.73, 2 Al 2.84-2.89
Si  0.5000  0.1710  0.9163 [4 per cell]  3 Al 2.65-2.75
Pd  0.0000  0.0000  0.4266 [2 per cell]  6 Al 2.66-2.73, 2 Dy 2.87, 1 Nd 2.96

=====

4.
Computed, not measured: NdDy2Al3Si2Pt after structural relaxation at the PBE-GGA level of DFT.

Results
For the volume, the calculation gives 359 Å³/cell. For the raw total energy, the calculation gives -5.53 eV per atom. Its magnetic moment is 0.0 μB/cell.

a = 4.2591 Å, b = 12.0898 Å, c = 6.9694 Å
α = 90.00°, β = 90.00°, γ = 90.00°
With the nearest neighbours (Å) after each atom.
Space group Amm2 (No. 38)
Symmetry-distinct sites (fractional):
Nd  0.0000  0.0000  0.0000 [2 per cell]  1 Pt 2.98, 4 Si 3.03, 6 Al 3.22-3.32
Dy  0.0000  0.2087  0.6255 [4 per cell]  1 Pt 2.88, 4 Si 2.96-2.97
Al  0.5000  0.0000  0.6532 [2 per cell]  2 Pt 2.65, 2 Si 2.76, 2 Al 2.83
Al  0.5000  0.1188  0.3025 [4 per cell]  2 Si 2.66-2.77, 2 Pt 2.71, 2 Al 2.83-2.87
Si  0.5000  0.1712  0.9162 [4 per cell]  3 Al 2.66-2.77, 4 Dy 2.96-2.97
Pt  0.0000  0.0000  0.4272 [2 per cell]  6 Al 2.65-2.71, 2 Dy 2.88

=====

5.
Computed, not measured: DyAl9Ni3 after structural relaxation at the PBE-GGA level of DFT.

Results
For the volume, the calculation gives 1258 Å³/cell. For the raw total energy, the calculation gives -4.76 eV per atom. Its magnetic moment is 0.0 μB/cell.

a = 7.2785 Å, b = 7.2785 Å, c = 27.4193 Å
α = 90.00°, β = 90.00°, γ = 120.00°
With the nearest neighbours (Å) after each atom.
Space group R32 (No. 155, hexagonal axes)
Symmetry-distinct sites (fractional):
Dy  0.0000  0.0000  0.1669 [6 per cell]  11 Al 2.99-3.16, 6 Ni 3.28-3.29
Al  0.0000  0.0000  0.0517 [6 per cell]  3 Ni 2.57, 7 Al 2.76-2.83
Al  0.0000  0.0000  0.2820 [6 per cell]  3 Ni 2.57, 7 Al 2.77-2.87
Al  0.0000  0.0000  0.3867 [6 per cell]  3 Ni 2.62, 7 Al 2.71-2.87
Al  0.0000  0.2087  0.5000 [9 per cell]  2 Ni 2.44, 2 Al 2.63
Al  0.0000  0.3345  0.0000 [9 per cell]  2 Ni 2.33
Al  0.9998  0.6702  0.4325 [18 per cell]  3 Ni 2.44-2.47, 1 Al 2.71
Ni  0.0001  0.3400  0.4183 [18 per cell]  7 Al 2.33-2.57

=====

6.
Computed, not measured: Dy3Al5Ni after structural relaxation at the PBE-GGA level of DFT.

Results
For the volume, the calculation gives 180 Å³/cell. For the raw total energy, the calculation gives -4.79 eV per atom. Its magnetic moment is 0.0 μB/cell.

a = 6.9537 Å, b = 6.9537 Å, c = 4.3051 Å
α = 90.00°, β = 90.00°, γ = 120.00°
With the nearest neighbours (Å) after each atom.
Space group P-62m (No. 189)
Symmetry-distinct sites (fractional):
Dy  0.0000  0.5962  0.0000 [3 per cell]  1 Ni 2.81, 4 Al 3.02
Al  0.0000  0.2299  0.5000 [3 per cell]  2 Ni 2.68, 4 Al 2.75-2.77
Al  0.3333  0.6667  0.5000 [2 per cell]  3 Al 2.75, 6 Dy 3.02
Ni  0.0000  0.0000  0.0000 [1 per cell]  6 Al 2.68, 3 Dy 2.81

=====

7.
Computed, not measured: Dy3Al2Ni6 after structural relaxation at the PBE-GGA level of DFT.

Results
For the volume, the calculation gives 707 Å³/cell. For the raw total energy, the calculation gives -5.54 eV per atom. Its magnetic moment is 0.1 μB/cell.

a = 8.9095 Å, b = 8.9095 Å, c = 8.9095 Å
α = 90.00°, β = 90.00°, γ = 90.00°
With the nearest neighbours (Å) after each atom.
Space group Im-3m (No. 229)
Symmetry-distinct sites (fractional):
Dy  0.0000  0.0000  0.2927 [12 per cell]  8 Ni 2.78-3.01
Al  0.2500  0.2500  0.2500 [8 per cell]  6 Ni 2.47
Ni  0.0000  0.3350  0.3350 [24 per cell]  2 Al 2.47, 4 Ni 2.57

=====

8.
Computed, not measured: Dy6AlNi2 after structural relaxation at the PBE-GGA level of DFT.

Results
For the volume, the calculation gives 886 Å³/cell. For the raw total energy, the calculation gives -5.04 eV per atom. Its magnetic moment is 0.0 μB/cell.

a = 9.2209 Å, b = 9.5723 Å, c = 10.0424 Å
α = 90.00°, β = 90.00°, γ = 90.00°
With the nearest neighbours (Å) after each atom.
Space group Immm (No. 71)
Symmetry-distinct sites (fractional):
Dy  0.0000  0.1958  0.2363 [8 per cell]  1 Ni 2.76, 1 Al 3.02
Dy  0.1924  0.5000  0.1751 [8 per cell]  3 Ni 2.71-2.91
Dy  0.2137  0.3182  0.5000 [8 per cell]  3 Ni 2.90-3.06, 1 Al 3.16
Al  0.0000  0.0000  0.0000 [2 per cell]  8 Dy 3.02-3.16, 2 Ni 3.29
Al  0.0000  0.0000  0.5000 [2 per cell]  12 Dy 3.24-3.63
Ni  0.0000  0.3434  0.0000 [4 per cell]  8 Dy 2.76-3.06, 1 Ni 3.00
Ni  0.0000  0.5000  0.3790 [4 per cell]  1 Ni 2.43, 2 Dy 2.71

=====

9.
Computed, not measured: PrDyAlNi2 after structural relaxation at the PBE-GGA level of DFT.

Results
For the volume, the calculation gives 195 Å³/cell. For the raw total energy, the calculation gives -5.33 eV per atom. Its magnetic moment is 0.0 μB/cell.

a = 4.2359 Å, b = 5.4532 Å, c = 8.4443 Å
α = 90.00°, β = 90.00°, γ = 90.00°
With the nearest neighbours (Å) after each atom.
Space group Imm2 (No. 44)
Symmetry-distinct sites (fractional):
Pr  0.0000  0.0000  0.0000 [2 per cell]  6 Ni 2.89-3.01, 2 Al 3.23
Dy  0.0000  0.0000  0.5915 [2 per cell]  6 Ni 2.89-3.01, 2 Al 3.23
Al  0.0000  0.5000  0.7959 [2 per cell]  4 Ni 2.57
Ni  0.0000  0.2664  0.2956 [4 per cell]  1 Ni 2.55, 2 Al 2.57

=====

10.
Computed, not measured: Dy2Al2NiPt3 after structural relaxation at the PBE-GGA level of DFT.

Results
For the volume, the calculation gives 147 Å³/cell. For the raw total energy, the calculation gives -6.10 eV per atom. Its magnetic moment is 0.0 μB/cell.

a = 4.3015 Å, b = 4.3015 Å, c = 9.1522 Å
α = 90.00°, β = 90.00°, γ = 120.00°
With the nearest neighbours (Å) after each atom.
Space group P3m1 (No. 156)
Symmetry-distinct sites (fractional):
Dy  0.0000  0.0000  0.0000 [1 per cell]  7 Pt 2.94-3.15, 1 Ni 2.94
Dy  0.3333  0.6667  0.5071 [1 per cell]  5 Pt 2.89-3.08, 3 Ni 2.94
Al  0.6667  0.3333  0.2551 [1 per cell]  6 Pt 2.60-2.61
Al  0.6667  0.3333  0.7516 [1 per cell]  3 Pt 2.57, 3 Ni 2.57
Ni  0.0000  0.0000  0.6783 [1 per cell]  3 Al 2.57, 3 Pt 2.82
Pt  0.0000  0.0000  0.3443 [1 per cell]  3 Al 2.61, 3 Dy 2.90
Pt  0.3333  0.6667  0.1710 [1 per cell]  3 Al 2.60
Pt  0.3333  0.6667  0.8233 [1 per cell]  3 Al 2.57, 3 Ni 2.82

=====

Repeat the fourth record exactly.
Computed, not measured: NdDy2Al3Si2Pt after structural relaxation at the PBE-GGA level of DFT.

Results
For the volume, the calculation gives 359 Å³/cell. For the raw total energy, the calculation gives -5.53 eV per atom. Its magnetic moment is 0.0 μB/cell.

a = 4.2591 Å, b = 12.0898 Å, c = 6.9694 Å
α = 90.00°, β = 90.00°, γ = 90.00°
With the nearest neighbours (Å) after each atom.
Space group Amm2 (No. 38)
Symmetry-distinct sites (fractional):
Nd  0.0000  0.0000  0.0000 [2 per cell]  1 Pt 2.98, 4 Si 3.03, 6 Al 3.22-3.32
Dy  0.0000  0.2087  0.6255 [4 per cell]  1 Pt 2.88, 4 Si 2.96-2.97
Al  0.5000  0.0000  0.6532 [2 per cell]  2 Pt 2.65, 2 Si 2.76, 2 Al 2.83
Al  0.5000  0.1188  0.3025 [4 per cell]  2 Si 2.66-2.77, 2 Pt 2.71, 2 Al 2.83-2.87
Si  0.5000  0.1712  0.9162 [4 per cell]  3 Al 2.66-2.77, 4 Dy 2.96-2.97
Pt  0.0000  0.0000  0.4272 [2 per cell]  6 Al 2.65-2.71, 2 Dy 2.88